NiH6C2S2N4: optimized geometry, PBE-GGA.

VASP energy in eV/atom: -5.875
Spin magnetization in μB/f.u.: 0.00
Theoretical density in Mg/m³: 1.65
D(E_F) in states/eV/atom: 0.000
Space-group type: Cm (8)

Unit cell a=6.652 b=6.652 c=4.961 alpha=84.56 beta=84.56 gamma=74.83
Fractional coordinates of all 15 atoms:
H 0.243 0.679 0.836
H 0.233 0.661 0.173
H 0.372 0.808 0.997
N 0.236 0.762 0.002
Ni 0.998 0.998 0.005
H 0.808 0.372 0.997
S 0.665 0.665 0.484
N 0.871 0.871 0.791
H 0.661 0.233 0.173
H 0.679 0.243 0.836
S 0.344 0.344 0.493
C 0.218 0.218 0.335
N 0.127 0.127 0.216
C 0.784 0.784 0.660
N 0.762 0.236 0.002

***

NiH10C4S2N8: optimized geometry, PBE-GGA.

VASP energy in eV/atom: -6.230
Spin magnetization in μB/f.u.: 0.06
Theoretical density in Mg/m³: 1.81
D(E_F) in states/eV/atom: 0.000
Space-group type: C2/c (15)

Unit cell a=7.808 b=8.505 c=9.542 alpha=105.58 beta=90.00 gamma=117.32
Fractional coordinates of all 50 atoms:
N 0.724 0.681 0.909
H 0.467 0.345 0.619
C 0.821 0.722 0.361
N 0.671 0.898 0.839
N 0.956 0.681 0.409
S 0.704 0.267 0.481
S 0.296 0.733 0.519
H 0.752 0.868 0.270
C 0.379 0.224 0.088
C 0.155 0.776 0.412
N 0.366 0.391 0.626
H 0.878 0.345 0.119
H 0.408 0.031 0.142
N 0.975 0.609 0.874
N 0.130 0.139 0.694
H 0.906 0.572 0.453
H 0.897 0.507 0.919
N 0.773 0.102 0.661
H 0.116 0.868 0.770
N 0.276 0.319 0.091
H 0.610 0.507 0.419
C 0.179 0.278 0.639
N 0.634 0.609 0.374
N 0.010 0.139 0.194
H 0.103 0.493 0.081
H 0.623 0.031 0.642
N 0.990 0.861 0.806
H 0.390 0.493 0.581
C 0.902 0.722 0.861
C 0.845 0.224 0.588
N 0.870 0.861 0.306
Ni 0.109 0.000 0.250
H 0.094 0.428 0.547
H 0.533 0.655 0.381
H 0.666 0.572 0.953
S 0.436 0.733 0.019
H 0.334 0.428 0.047
C 0.621 0.776 0.912
Ni 0.891 0.000 0.750
N 0.329 0.102 0.161
S 0.564 0.267 0.981
N 0.044 0.319 0.591
N 0.227 0.898 0.339
H 0.248 0.132 0.730
H 0.122 0.655 0.881
H 0.884 0.132 0.230
C 0.098 0.278 0.139
N 0.025 0.391 0.126
H 0.377 0.969 0.358
H 0.592 0.969 0.858

***

ZnP2H13C2N6O8: optimized geometry, PBE-GGA.

VASP energy in eV/atom: -6.023
Spin magnetization in μB/f.u.: 1.18
Theoretical density in Mg/m³: 1.80
D(E_F) in states/eV/atom: 0.398
Space-group type: Pna2_1 (33)

Unit cell a=9.887 b=10.659 c=13.181 alpha=90.00 beta=90.00 gamma=90.00
Fractional coordinates of all 128 atoms:
P 0.114 0.276 0.256
O 0.857 0.968 0.893
O 0.628 0.271 0.867
H 0.711 0.701 0.562
H 0.748 0.410 0.897
C 0.608 0.254 0.254
O 0.344 0.031 0.910
H 0.211 0.799 0.062
N 0.581 0.677 0.323
O 0.007 0.196 0.199
N 0.736 0.788 0.227
H 0.316 0.255 0.737
N 0.581 0.177 0.177
H 0.988 0.362 0.664
C 0.872 0.017 0.510
H 0.026 0.643 0.630
H 0.488 0.638 0.336
H 0.373 0.295 0.037
C 0.372 0.983 0.490
H 0.026 0.143 0.870
N 0.412 0.576 0.949
O 0.561 0.586 0.748
N 0.507 0.796 0.188
O 0.632 0.957 0.986
P 0.779 0.508 0.512
N 0.794 0.994 0.591
Zn 0.021 0.530 0.363
H 0.910 0.707 0.717
H 0.410 0.293 0.283
N 0.912 0.424 0.051
C 0.872 0.517 0.990
H 0.154 0.839 0.877
N 0.909 0.136 0.491
H 0.484 0.340 0.940
H 0.526 0.357 0.370
O 0.357 0.532 0.393
N 0.736 0.288 0.273
H 0.654 0.161 0.123
O 0.272 0.341 0.495
O 0.007 0.696 0.301
N 0.409 0.364 0.991
H 0.316 0.755 0.763
O 0.061 0.914 0.248
O 0.628 0.771 0.633
H 0.770 0.068 0.638
H 0.270 0.932 0.362
N 0.412 0.076 0.551
H 0.248 0.090 0.397
O 0.632 0.457 0.514
O 0.128 0.729 0.133
H 0.464 0.061 0.617
H 0.260 0.646 0.673
O 0.844 0.469 0.410
O 0.357 0.032 0.107
O 0.344 0.531 0.590
N 0.007 0.704 0.688
P 0.779 0.008 0.988
H 0.654 0.661 0.377
H 0.964 0.939 0.383
O 0.753 0.724 0.798
H 0.770 0.568 0.862
O 0.844 0.969 0.090
H 0.388 0.666 0.966
H 0.484 0.840 0.560
O 0.561 0.086 0.752
C 0.108 0.246 0.754
P 0.114 0.776 0.244
H 0.711 0.201 0.938
O 0.772 0.659 0.505
H 0.760 0.354 0.327
H 0.154 0.339 0.623
H 0.211 0.299 0.438
N 0.409 0.864 0.509
N 0.912 0.924 0.449
N 0.236 0.212 0.773
O 0.128 0.229 0.367
N 0.294 0.006 0.409
N 0.507 0.296 0.312
H 0.984 0.660 0.060
N 0.081 0.823 0.823
P 0.279 0.492 0.488
H 0.388 0.166 0.534
H 0.984 0.160 0.440
C 0.608 0.754 0.246
O 0.857 0.468 0.607
Zn 0.021 0.030 0.137
N 0.909 0.636 0.009
H 0.816 0.245 0.237
C 0.372 0.483 0.010
H 0.816 0.745 0.263
H 0.873 0.205 0.537
O 0.772 0.159 0.995
O 0.507 0.304 0.699
H 0.373 0.795 0.463
H 0.760 0.854 0.173
O 0.253 0.276 0.202
H 0.910 0.207 0.783
N 0.081 0.323 0.677
O 0.272 0.841 0.005
H 0.270 0.432 0.138
H 0.888 0.834 0.466
H 0.248 0.590 0.103
N 0.294 0.506 0.091
C 0.108 0.746 0.746
Zn 0.521 0.970 0.863
H 0.748 0.910 0.603
H 0.873 0.705 0.963
O 0.753 0.224 0.702
P 0.279 0.992 0.012
H 0.964 0.439 0.117
P 0.614 0.224 0.756
N 0.794 0.494 0.909
Zn 0.521 0.470 0.637
O 0.132 0.543 0.486
N 0.007 0.204 0.812
O 0.061 0.414 0.252
H 0.988 0.862 0.836
H 0.526 0.857 0.130
O 0.253 0.776 0.298
H 0.464 0.561 0.883
H 0.410 0.793 0.217
P 0.614 0.724 0.744
N 0.236 0.712 0.727
O 0.132 0.043 0.014
H 0.488 0.138 0.164
O 0.507 0.804 0.801
H 0.888 0.334 0.034
H 0.260 0.146 0.827

***

Zn4P3H10C2NO13: optimized geometry, PBE-GGA.

VASP energy in eV/atom: -5.758
Spin magnetization in μB/f.u.: 0.00
Theoretical density in Mg/m³: 2.81
D(E_F) in states/eV/atom: 0.000
Space-group type: P2_1/c (14)

Unit cell a=15.388 b=5.312 c=18.346 alpha=73.98 beta=90.00 gamma=90.00
Fractional coordinates of all 132 atoms:
O 0.279 0.777 0.140
P 0.258 0.060 0.144
Zn 0.755 0.905 0.685
H 0.288 0.577 0.335
H 0.585 0.068 0.767
O 0.764 0.521 0.200
O 0.354 0.615 0.516
H 0.228 0.583 0.746
Zn 0.905 0.755 0.957
P 0.384 0.834 0.443
O 0.873 0.038 0.662
Zn 0.095 0.245 0.043
O 0.903 0.491 0.574
Zn 0.255 0.095 0.815
O 0.627 0.038 0.162
O 0.221 0.777 0.640
C 0.018 0.574 0.740
C 0.052 0.581 0.209
P 0.408 0.805 0.917
Zn 0.099 0.193 0.510
Zn 0.267 0.639 0.053
H 0.026 0.817 0.813
H 0.499 0.612 0.180
O 0.001 0.094 0.578
O 0.146 0.615 0.016
O 0.381 0.103 0.458
Zn 0.767 0.361 0.447
O 0.499 0.094 0.078
O 0.236 0.479 0.800
C 0.948 0.419 0.791
O 0.799 0.910 0.282
O 0.804 0.736 0.426
Zn 0.245 0.095 0.315
O 0.619 0.897 0.542
H 0.788 0.423 0.165
O 0.179 0.827 0.877
O 0.097 0.509 0.426
O 0.648 0.124 0.018
N 0.527 0.163 0.745
N 0.473 0.837 0.255
Zn 0.901 0.807 0.490
H 0.712 0.423 0.665
C 0.552 0.419 0.291
O 0.597 0.491 0.074
O 0.352 0.876 0.982
O 0.852 0.124 0.518
C 0.448 0.581 0.709
O 0.148 0.876 0.482
O 0.881 0.897 0.042
O 0.196 0.264 0.574
O 0.701 0.910 0.782
H 0.415 0.932 0.233
H 0.474 0.817 0.313
H 0.573 0.251 0.272
O 0.264 0.479 0.300
H 0.419 0.477 0.249
H 0.272 0.583 0.246
H 0.999 0.388 0.320
C 0.982 0.426 0.260
O 0.660 0.879 0.361
H 0.610 0.539 0.291
P 0.908 0.195 0.583
H 0.974 0.949 0.729
H 0.026 0.051 0.271
H 0.110 0.461 0.209
N 0.973 0.163 0.245
H 0.526 0.949 0.229
O 0.679 0.173 0.623
C 0.482 0.574 0.240
O 0.119 0.103 0.958
O 0.321 0.827 0.377
O 0.821 0.173 0.123
H 0.390 0.461 0.709
P 0.884 0.166 0.057
O 0.646 0.385 0.484
O 0.501 0.906 0.922
P 0.742 0.940 0.856
O 0.840 0.879 0.861
H 0.581 0.523 0.751
O 0.160 0.121 0.139
H 0.427 0.749 0.728
O 0.299 0.090 0.218
O 0.476 0.760 0.420
Zn 0.745 0.905 0.185
P 0.242 0.060 0.644
O 0.854 0.385 0.984
O 0.024 0.760 0.920
O 0.721 0.223 0.860
O 0.127 0.962 0.338
Zn 0.401 0.193 0.010
P 0.758 0.940 0.356
O 0.999 0.906 0.422
Zn 0.405 0.245 0.543
O 0.696 0.736 0.926
O 0.779 0.223 0.360
O 0.976 0.240 0.080
Zn 0.599 0.807 0.990
H 0.212 0.577 0.835
P 0.592 0.195 0.083
O 0.403 0.509 0.926
N 0.027 0.837 0.755
P 0.116 0.834 0.943
H 0.085 0.932 0.733
P 0.616 0.166 0.557
H 0.728 0.417 0.754
H 0.974 0.183 0.187
Zn 0.233 0.639 0.553
H 0.526 0.183 0.687
H 0.529 0.348 0.350
O 0.304 0.264 0.074
H 0.772 0.417 0.254
H 0.474 0.051 0.771
H 0.081 0.477 0.749
Zn 0.733 0.361 0.947
H 0.890 0.539 0.791
H 0.927 0.251 0.772
H 0.073 0.749 0.228
O 0.373 0.962 0.838
H 0.971 0.348 0.850
H 0.501 0.388 0.820
H 0.001 0.612 0.680
H 0.029 0.652 0.150
Zn 0.595 0.755 0.457
H 0.919 0.523 0.251
O 0.340 0.121 0.639
H 0.471 0.652 0.650
C 0.518 0.426 0.760
O 0.201 0.090 0.718
O 0.524 0.240 0.580
O 0.736 0.521 0.700
P 0.092 0.805 0.417
H 0.915 0.068 0.267

***

ZnP2H11C2NO8: optimized geometry, PBE-GGA.

VASP energy in eV/atom: -5.733
Spin magnetization in μB/f.u.: 0.00
Theoretical density in Mg/m³: 1.96
D(E_F) in states/eV/atom: 0.000
Space-group type: Cc (9)

Unit cell a=8.453 b=8.453 c=14.828 alpha=83.02 beta=83.02 gamma=80.98
Fractional coordinates of all 100 atoms:
O 0.512 0.662 0.746
H 0.294 0.301 0.020
O 0.371 0.369 0.980
H 0.030 0.499 0.217
O 0.912 0.913 0.477
H 0.321 0.717 0.639
H 0.663 0.497 0.315
O 0.884 0.668 0.171
H 0.535 0.310 0.689
H 0.354 0.723 0.429
H 0.358 0.359 0.766
H 0.871 0.681 0.777
P 0.849 0.896 0.886
H 0.723 0.354 0.929
O 0.670 0.879 0.897
Zn 0.789 0.525 0.495
H 0.263 0.940 0.796
O 0.879 0.670 0.397
H 0.637 0.099 0.363
P 0.669 0.700 0.684
P 0.700 0.669 0.184
H 0.627 0.198 0.076
N 0.868 0.224 0.027
H 0.040 0.351 0.373
P 0.549 0.293 0.457
H 0.116 0.885 0.497
P 0.027 0.248 0.612
H 0.935 0.363 0.905
C 0.212 0.737 0.604
O 0.950 0.757 0.835
H 0.107 0.773 0.652
O 0.432 0.647 0.923
O 0.913 0.912 0.977
C 0.268 0.461 0.250
H 0.226 0.978 0.553
H 0.978 0.226 0.053
O 0.369 0.371 0.480
O 0.188 0.608 0.041
H 0.885 0.116 0.997
P 0.293 0.549 0.957
N 0.119 0.402 0.232
H 0.499 0.030 0.717
C 0.461 0.268 0.750
H 0.717 0.321 0.139
O 0.034 0.349 0.696
O 0.545 0.191 0.375
H 0.071 0.888 0.260
O 0.349 0.034 0.196
C 0.364 0.834 0.458
H 0.940 0.263 0.296
H 0.497 0.663 0.815
H 0.773 0.107 0.152
O 0.647 0.432 0.423
O 0.627 0.664 0.097
H 0.532 0.239 0.808
O 0.871 0.064 0.829
H 0.198 0.627 0.576
Zn 0.022 0.783 0.076
C 0.737 0.212 0.104
H 0.143 0.338 0.175
H 0.363 0.935 0.405
O 0.664 0.627 0.597
O 0.064 0.871 0.329
H 0.301 0.294 0.520
H 0.310 0.535 0.189
H 0.351 0.040 0.873
O 0.923 0.112 0.648
O 0.608 0.188 0.541
O 0.204 0.174 0.587
H 0.888 0.071 0.760
N 0.224 0.868 0.527
H 0.359 0.358 0.266
P 0.248 0.027 0.112
O 0.668 0.884 0.671
H 0.338 0.143 0.675
C 0.292 0.055 0.810
H 0.681 0.871 0.277
P 0.896 0.849 0.386
H 0.946 0.441 0.706
O 0.757 0.950 0.335
O 0.174 0.204 0.087
H 0.142 0.182 0.317
Zn 0.525 0.789 0.995
O 0.112 0.923 0.148
H 0.239 0.532 0.308
H 0.817 0.475 0.992
O 0.356 0.959 0.032
Zn 0.783 0.022 0.576
C 0.055 0.292 0.310
O 0.191 0.545 0.875
O 0.959 0.356 0.532
H 0.441 0.946 0.206
O 0.822 0.615 0.732
O 0.662 0.512 0.246
H 0.099 0.637 0.863
H 0.475 0.817 0.492
N 0.402 0.119 0.732
O 0.615 0.822 0.232
C 0.834 0.364 0.958
H 0.182 0.142 0.817